VASP calculation (meta-GGA SCAN) on a crystal of RbSbTe2Pd relaxed with PBEsol.

CIF file:
```
data_RbSbTe2Pd
_cell_length_a 5.768
_cell_length_b 5.954
_cell_length_c 5.954
_cell_angle_alpha 90.00
_cell_angle_beta 90.00
_cell_angle_gamma 90.00
_space_group_name_H-M_alt 'P 1'
_space_group_IT_number 1
loop_
_space_group_symop_operation_xyz
'x,y,z'
loop_
_atom_site_label
_atom_site_type_symbol
_atom_site_fract_x
_atom_site_fract_y
_atom_site_fract_z
Sb1 Sb 0.500 0.000 0.000
Te1 Te 0.000 0.000 0.500
Te2 Te 0.000 0.500 0.000
Rb1 Rb 0.000 0.000 0.000
Pd1 Pd 0.500 0.500 0.500
```

Properties
**Electronic total energy**: -31.4328 eV/atom
**V**: 40.90 A^3/atom
**E_form (uncorrected)**: 1.62 eV/atom


VASP calculation (meta-GGA SCAN) on a crystal of RbScPd3 relaxed with PBEsol.

CIF file:
```
data_RbScPd3
_cell_length_a 4.919
_cell_length_b 4.919
_cell_length_c 4.919
_cell_angle_alpha 90.00
_cell_angle_beta 90.00
_cell_angle_gamma 90.00
_space_group_name_H-M_alt 'P 1'
_space_group_IT_number 1
loop_
_space_group_symop_operation_xyz
'x,y,z'
loop_
_atom_site_label
_atom_site_type_symbol
_atom_site_fract_x
_atom_site_fract_y
_atom_site_fract_z
Sc1 Sc 0.000 0.000 0.000
Rb1 Rb 0.500 0.500 0.500
Pd1 Pd 0.000 0.500 0.000
Pd2 Pd 0.000 0.000 0.500
Pd3 Pd 0.500 0.000 0.000
```

Properties
**Electronic total energy**: -26.4905 eV/atom
**V**: 23.81 A^3/atom
**Formation energy**: 0.8 eV per formula unit


VASP calculation (meta-GGA SCAN) on a crystal of RbScPd3 relaxed with PBEsol.

CIF file:
```
data_RbScPd3
_cell_length_a 4.951
_cell_length_b 4.951
_cell_length_c 4.951
_cell_angle_alpha 90.00
_cell_angle_beta 90.00
_cell_angle_gamma 90.00
_space_group_name_H-M_alt 'P 1'
_space_group_IT_number 1
loop_
_space_group_symop_operation_xyz
'x,y,z'
loop_
_atom_site_label
_atom_site_type_symbol
_atom_site_fract_x
_atom_site_fract_y
_atom_site_fract_z
Sc1 Sc 0.500 0.500 0.500
Rb1 Rb 0.000 0.000 0.000
Pd1 Pd 0.000 0.500 0.000
Pd2 Pd 0.000 0.000 0.500
Pd3 Pd 0.500 0.000 0.000
```

Properties
**Electronic total energy**: -25.3272 eV/atom
**V**: 24.27 A^3/atom
**Formation energy**: 6.7 eV per formula unit


VASP calculation (meta-GGA SCAN) on a crystal of Rb2Si2Pd relaxed with PBEsol.

CIF file:
```
data_Rb2Si2Pd
_cell_length_a 3.466
_cell_length_b 3.466
_cell_length_c 11.131
_cell_angle_alpha 98.96
_cell_angle_beta 98.96
_cell_angle_gamma 90.00
_space_group_name_H-M_alt 'P 1'
_space_group_IT_number 1
loop_
_space_group_symop_operation_xyz
'x,y,z'
loop_
_atom_site_label
_atom_site_type_symbol
_atom_site_fract_x
_atom_site_fract_y
_atom_site_fract_z
Si1 Si 0.250 0.750 0.500
Si2 Si 0.750 0.250 0.500
Rb1 Rb 0.398 0.398 0.795
Rb2 Rb 0.602 0.602 0.205
Pd1 Pd 0.000 0.000 0.000
```

Properties
**Electronic total energy**: -18.5097 eV/atom
**V**: 26.08 A^3/atom
**E_form (uncorrected)**: 0.35 eV/atom


VASP calculation (meta-GGA SCAN) on a crystal of RbSi3Pd relaxed with PBEsol.

CIF file:
```
data_RbSi3Pd
_cell_length_a 4.845
_cell_length_b 4.845
_cell_length_c 4.845
_cell_angle_alpha 90.00
_cell_angle_beta 90.00
_cell_angle_gamma 90.00
_space_group_name_H-M_alt 'P 1'
_space_group_IT_number 1
loop_
_space_group_symop_operation_xyz
'x,y,z'
loop_
_atom_site_label
_atom_site_type_symbol
_atom_site_fract_x
_atom_site_fract_y
_atom_site_fract_z
Si1 Si 0.000 0.500 0.000
Si2 Si 0.000 0.000 0.500
Si3 Si 0.500 0.000 0.000
Rb1 Rb 0.500 0.500 0.500
Pd1 Pd 0.000 0.000 0.000
```

Properties
**Electronic total energy**: -16.0700 eV/atom
**V**: 22.75 A^3/atom
**E_form (uncorrected)**: 0.64 eV/atom


VASP calculation (meta-GGA SCAN) on a crystal of RbSi2Pd relaxed with PBEsol.

CIF file:
```
data_RbSi2Pd
_cell_length_a 4.730
_cell_length_b 4.730
_cell_length_c 4.730
_cell_angle_alpha 60.00
_cell_angle_beta 60.00
_cell_angle_gamma 60.00
_space_group_name_H-M_alt 'P 1'
_space_group_IT_number 1
loop_
_space_group_symop_operation_xyz
'x,y,z'
loop_
_atom_site_label
_atom_site_type_symbol
_atom_site_fract_x
_atom_site_fract_y
_atom_site_fract_z
Si1 Si 0.250 0.250 0.250
Si2 Si 0.750 0.750 0.750
Rb1 Rb 0.000 0.000 0.000
Pd1 Pd 0.500 0.500 0.500
```

Properties
**Electronic total energy**: -17.6088 eV/atom
**V**: 18.71 A^3/atom
**E_form (uncorrected)**: 0.78 eV/atom


VASP calculation (meta-GGA SCAN) on a crystal of RbSnPd3 relaxed with PBEsol.

CIF file:
```
data_RbSnPd3
_cell_length_a 5.027
_cell_length_b 5.027
_cell_length_c 5.027
_cell_angle_alpha 90.00
_cell_angle_beta 90.00
_cell_angle_gamma 90.00
_space_group_name_H-M_alt 'P 1'
_space_group_IT_number 1
loop_
_space_group_symop_operation_xyz
'x,y,z'
loop_
_atom_site_label
_atom_site_type_symbol
_atom_site_fract_x
_atom_site_fract_y
_atom_site_fract_z
Rb1 Rb 0.500 0.500 0.500
Sn1 Sn 0.000 0.000 0.000
Pd1 Pd 0.000 0.500 0.000
Pd2 Pd 0.000 0.000 0.500
Pd3 Pd 0.500 0.000 0.000
```

Properties
**Electronic total energy**: -30.8113 eV/atom
**V**: 25.41 A^3/atom
**Formation energy**: 0.9 eV per formula unit


VASP calculation (meta-GGA SCAN) on a crystal of Rb3SnPd relaxed with PBEsol.

CIF file:
```
data_Rb3SnPd
_cell_length_a 6.754
_cell_length_b 6.754
_cell_length_c 6.754
_cell_angle_alpha 90.00
_cell_angle_beta 90.00
_cell_angle_gamma 90.00
_space_group_name_H-M_alt 'P 1'
_space_group_IT_number 1
loop_
_space_group_symop_operation_xyz
'x,y,z'
loop_
_atom_site_label
_atom_site_type_symbol
_atom_site_fract_x
_atom_site_fract_y
_atom_site_fract_z
Rb1 Rb 0.000 0.500 0.000
Rb2 Rb 0.000 0.000 0.500
Rb3 Rb 0.500 0.000 0.000
Sn1 Sn 0.000 0.000 0.000
Pd1 Pd 0.500 0.500 0.500
```

Properties
**Electronic total energy**: -25.5519 eV/atom
**V**: 61.61 A^3/atom
**Formation energy**: 3.2 eV per formula unit